Here is crystalline MnH2Cl2O at its relaxed geometry from Alexandria via LeMat-Bulk. Energies are from PBE+U.

Values from the calculation:
Space-group type: Cmcm (63)
DOS(E_F) in states/eV/atom: 0.00
VASP energy in eV/atom: -4.9700
M_tot in μB per formula unit: 5.0
Calculated volume in Å³ per atom: 17.8

Lattice parameters (Å, degrees): 6.399 5.277 6.856 112.64 90.00 90.00
Positions (direct):
Mn  0.454  0.000  0.000
Mn  0.954  0.000  0.000
H  0.704  0.621  0.123
H  0.704  0.498  0.877
H  0.204  0.502  0.123
H  0.204  0.379  0.877
Cl  0.204  0.944  0.268
Cl  0.204  0.676  0.732
Cl  0.704  0.056  0.732
Cl  0.704  0.324  0.268
O  0.704  0.679  0.000
O  0.204  0.321  0.000